This record from Alexandria via LeMat-Bulk describes a relaxed DyPaFe2 crystal. The functional is PBE.

Values from the calculation:
DFT total energy: -7.60 eV per atom
DOS(E_F): 1.0889 states/eV/atom
energy relative to the elements: 0.1551 eV per atom
ρ: 10.9 g/cm³

Geometry as POSCAR:
```
DyPaFe2
1.0
-3.198 0.124 -1.332
-2.044 -2.797 0.138
-4.388 1.362 6.152
Pa Fe Dy
1 2 1
Cartesian
0.000 0.000 0.000 Pa
-7.303 -0.915 3.915 Fe
-2.328 -0.395 1.042 Fe
-4.816 -0.655 2.479 Dy
```

***

This record from Alexandria via LeMat-Bulk describes a relaxed DyPaFe4 crystal. The functional is PBE.

Values from the calculation:
DFT total energy: -8.08 eV per atom
DOS(E_F): 1.3388 states/eV/atom
energy relative to the elements: -0.0915 eV per atom
ρ: 10.9 g/cm³

Geometry as POSCAR:
```
DyPaFe4
1.0
-3.321 3.769 0.881
-3.583 -0.545 3.588
0.287 2.694 4.321
Pa Fe Dy
1 4 1
Cartesian
0.000 0.000 0.000 Pa
-4.283 2.349 3.328 Fe
-2.340 3.976 3.696 Fe
-4.139 3.702 5.498 Fe
-2.471 1.810 5.056 Fe
-1.654 1.480 2.197 Dy
```

***

This record from Alexandria via LeMat-Bulk describes a relaxed Dy3PaFe8 crystal. The functional is PBE.

Values from the calculation:
DFT total energy: -7.68 eV per atom
DOS(E_F): 0.9758 states/eV/atom
energy relative to the elements: -0.0981 eV per atom
ρ: 10.2 g/cm³

Geometry as POSCAR:
```
Dy3PaFe8
1.0
4.909 0.000 1.482
2.231 4.373 1.482
0.006 0.004 8.852
Dy Pa Fe
3 1 8
Cartesian
2.681 1.642 8.862 Dy
0.011 0.007 8.836 Dy
3.569 2.186 5.920 Dy
6.246 3.826 5.923 Pa
5.571 1.912 3.716 Fe
4.256 4.101 8.105 Fe
3.121 1.912 2.977 Fe
6.697 4.101 8.842 Fe
1.343 0.822 4.424 Fe
4.916 3.011 10.329 Fe
4.234 4.094 3.716 Fe
5.588 1.928 8.105 Fe
```

***

This record from Alexandria via LeMat-Bulk describes a relaxed DyPaFe crystal. The functional is PBE.

Values from the calculation:
DFT total energy: -7.50 eV per atom
DOS(E_F): 1.3410 states/eV/atom
energy relative to the elements: 0.0172 eV per atom
ρ: 10.6 g/cm³

Geometry as POSCAR:
```
DyPaFe
1.0
-1.403 2.301 2.456
-2.213 -1.976 -2.119
-0.012 -4.462 4.175
Pa Fe Dy
1 1 1
Cartesian
-1.678 -1.027 2.711 Pa
-1.950 -3.371 2.044 Fe
-0.011 -4.202 3.931 Dy
```

***

This record from Alexandria via LeMat-Bulk describes a relaxed DyPaFe crystal. The functional is PBE.

Values from the calculation:
DFT total energy: -7.65 eV per atom
DOS(E_F): 1.0673 states/eV/atom
energy relative to the elements: -0.1252 eV per atom
ρ: 10.8 g/cm³

Geometry as POSCAR:
```
DyPaFe
1.0
-3.399 1.040 -0.364
-0.691 -3.730 -4.202
0.360 -2.073 8.263
Fe Pa Dy
2 2 2
Cartesian
-2.969 -3.405 0.459 Fe
-0.762 -1.358 3.237 Fe
-0.806 -2.493 0.403 Pa
-2.925 -2.270 3.294 Pa
-2.510 -3.014 -2.704 Dy
-1.220 -1.749 6.400 Dy
```

***

This record from Alexandria via LeMat-Bulk describes a relaxed DyPaFe crystal. The functional is PBE.

Values from the calculation:
DFT total energy: -7.56 eV per atom
DOS(E_F): 1.2697 states/eV/atom
energy relative to the elements: -0.0427 eV per atom
ρ: 11.8 g/cm³

Geometry as POSCAR:
```
DyPaFe
1.0
3.383 0.000 0.000
0.000 3.383 0.000
-1.691 -1.691 5.536
Pa Fe Dy
1 1 1
Cartesian
0.000 0.000 3.284 Pa
1.691 1.691 2.210 Fe
0.000 0.000 0.042 Dy
```

***

This record from Alexandria via LeMat-Bulk describes a relaxed DyPaFeRu crystal. The functional is PBE.

Values from the calculation:
DFT total energy: -8.11 eV per atom
DOS(E_F): 0.7889 states/eV/atom
energy relative to the elements: -0.1544 eV per atom
ρ: 11.8 g/cm³

Geometry as POSCAR:
```
DyPaFeRu
1.0
-4.172 0.350 2.327
-2.085 -3.926 1.782
-0.164 -0.683 4.737
Ru Pa Fe Dy
1 1 1 1
Cartesian
0.000 0.000 0.000 Ru
-1.605 -1.065 2.212 Pa
-3.210 -2.130 4.423 Fe
-4.816 -3.195 6.635 Dy
```

***

This record from Alexandria via LeMat-Bulk describes a relaxed Dy2TmPaFe2 crystal. The functional is PBE.

Values from the calculation:
DFT total energy: -6.74 eV per atom
DOS(E_F): 1.0017 states/eV/atom
energy relative to the elements: -0.0577 eV per atom
ρ: 10.0 g/cm³

Geometry as POSCAR:
```
Dy2TmPaFe2
1.0
6.490 0.000 0.000
0.000 6.668 0.000
-3.245 -3.334 6.452
Dy Tm Pa Fe
4 2 2 4
Cartesian
3.245 4.728 2.562 Dy
0.000 1.940 2.562 Dy
3.245 1.394 3.890 Dy
0.000 -1.394 3.890 Dy
1.622 0.000 0.000 Tm
4.867 0.000 0.000 Tm
4.867 3.334 0.000 Pa
1.622 3.334 0.000 Pa
0.000 1.332 5.215 Fe
3.245 2.002 1.237 Fe
0.000 4.666 1.237 Fe
3.245 -1.332 5.215 Fe
```